(1)
The following is a DFT calculation (PBE-GGA) of a relaxed K2Zn4AgAu3 crystal.

abc: 4.676 4.676 10.408
angles: 90.00 90.00 90.00
Space group P-4m2 (No. 115)
Symmetry-distinct sites (fractional):
K 0.000 0.500 0.249
Zn 0.000 0.000 0.000
Zn 0.000 0.500 0.627
Zn 0.500 0.500 0.000
Ag 0.000 0.000 0.500
Au 0.000 0.500 0.878
Au 0.500 0.500 0.500

Computed properties:
ΔH_f (0 K) = -0.188 eV/atom
M_tot = 0.00 μB/cell
Total energy = -2.185 eV per atom

=====

(2)
The following is a DFT calculation (PBE-GGA) of a relaxed SrPb crystal.

abc: 5.9294 5.9294 6.7489
angles: 90.00 90.00 120.00
Space group P6_3/mmc (No. 194)
Symmetry-distinct sites (fractional):
Sr 0.3333 0.6667 0.2500
Pb 0.3333 0.6667 0.7500

Computed properties:
ΔH_f (0 K) = 0.044 eV/atom
M_tot = 0.00 μB/cell
Total energy = -2.651 eV per atom

=====

(3)
The following is a DFT calculation (PBE-GGA) of a relaxed Hg5H2S4 crystal.

abc: 14.594 6.977 10.135
angles: 90.00 129.64 90.00
Space group C2/m (No. 12)
Symmetry-distinct sites (fractional):
Hg 0.000 0.000 0.000
Hg 0.157 0.190 0.600
H 0.192 0.000 0.997
S 0.077 0.000 0.852
S 0.237 0.500 0.618

Computed properties:
M_tot = 0.00 μB/cell
Total energy = -2.257 eV per atom

=====

(4)
The following is a DFT calculation (PBE-GGA) of a relaxed Li2AlI4 crystal.

abc: 6.487 6.487 12.838
angles: 90.00 90.00 90.00
Space group I-42m (No. 121)
Symmetry-distinct sites (fractional):
Li 0.000 0.500 0.250
Al 0.000 0.000 0.000
I 0.245 0.245 0.625

Computed properties:
Formation energy without anion corrections = -5.3 eV/f.u.
M_tot = 1.54 μB/cell
Total energy = -2.729 eV per atom

=====

(5)
The following is a DFT calculation (PBE-GGA) of a relaxed Zr2InW crystal.

abc: 3.400 4.917 9.934
angles: 90.00 90.00 90.00
Space group Cmm2 (No. 35)
Symmetry-distinct sites (fractional):
Zr 0.000 0.000 0.000
Zr 0.000 0.500 0.279
In 0.000 0.000 0.540
W 0.000 0.500 0.775

Computed properties:
ΔH_f (0 K) = 0.218 eV/atom
M_tot = 0.00 μB/cell
Total energy = -7.979 eV per atom

=====

(6)
The following is a DFT calculation (PBE-GGA) of a relaxed RbSn2Au5 crystal.

abc: 4.697 7.407 11.305
angles: 90.00 90.00 90.00
Space group Immm (No. 71)
Symmetry-distinct sites (fractional):
Rb 0.000 0.000 0.000
Sn 0.000 0.500 0.243
Au 0.000 0.188 0.369
Au 0.000 0.500 0.000

Computed properties:
ΔH_f (0 K) = -0.168 eV/atom
M_tot = 0.00 μB/cell
Total energy = -3.338 eV per atom

=====

(7)
The following is a DFT calculation (PBE-GGA) of a relaxed Zr2InW crystal.

abc: 3.025 4.468 6.213
angles: 90.00 100.47 90.00
Space group P2/m (No. 10)
Symmetry-distinct sites (fractional):
Zr 0.111 0.000 0.267
In 0.500 0.500 0.000
W 0.500 0.500 0.500

Computed properties:
ΔH_f (0 K) = 0.036 eV/atom
M_tot = 0.00 μB/cell
Total energy = -8.161 eV per atom

=====

(8)
The following is a DFT calculation (PBE-GGA) of a relaxed DyEr2I crystal.

abc: 3.7118 3.7118 31.1311
angles: 90.00 90.00 120.00
Space group R-3m (No. 166, hexagonal axes)
Symmetry-distinct sites (fractional):
Dy 0.0000 0.0000 0.0000
Er 0.0000 0.0000 0.2459
I 0.0000 0.0000 0.5000

Computed properties:
Formation energy without anion corrections = -1.3 eV/f.u.
M_tot = 0.01 μB/cell
Total energy = -4.140 eV per atom

=====

(9)
The following is a DFT calculation (PBE-GGA) of a relaxed Er4Tm5Pb crystal.

abc: 10.512 10.512 5.745
angles: 90.00 90.00 90.00
Space group I4mm (No. 107)
Symmetry-distinct sites (fractional):
Er 0.000 0.317 0.000
Tm 0.000 0.000 0.785
Tm 0.187 0.187 0.504
Pb 0.000 0.000 0.270

Computed properties:
ΔH_f (0 K) = 0.125 eV/atom
M_tot = 0.00 μB/cell
Total energy = -4.307 eV per atom

=====

(10)
The following is a DFT calculation (PBE-GGA) of a relaxed Dy2YEr7 crystal.

abc: 8.643 16.924 5.217
angles: 90.00 90.00 90.00
Space group Cmmm (No. 65)
Symmetry-distinct sites (fractional):
Dy 0.000 0.202 0.000
Y 0.000 0.500 0.500
Er 0.000 0.000 0.000
Er 0.000 0.302 0.500
Er 0.178 0.390 0.000

Computed properties:
ΔH_f (0 K) = 0.706 eV/atom
M_tot = 0.01 μB/cell
Total energy = -4.055 eV per atom

=====

(11)
The following is a DFT calculation (PBE-GGA) of a relaxed MgNbAg crystal.

abc: 4.516 3.210 7.908
angles: 90.00 106.04 90.00
Space group P2/m (No. 10)
Symmetry-distinct sites (fractional):
Mg 0.173 0.000 0.347
Nb 0.000 0.500 0.000
Nb 0.500 0.000 0.000
Ag 0.338 0.500 0.674

Computed properties:
ΔH_f (0 K) = 0.061 eV/atom
M_tot = 0.00 μB/cell
Total energy = -4.778 eV per atom

=====

(12)
The following is a DFT calculation (PBE-GGA) of a relaxed Pm5Ho12Tm2 crystal.

abc: 17.729 9.000 8.644
angles: 90.00 115.44 90.00
Space group C2/m (No. 12)
Symmetry-distinct sites (fractional):
Pm 0.000 0.000 0.000
Pm 0.210 0.500 0.723
Pm 0.237 0.000 0.789
Ho 0.045 0.000 0.681
Ho 0.058 0.500 0.214
Ho 0.128 0.276 0.956
Ho 0.145 0.186 0.403
Tm 0.000 0.327 0.500

Computed properties:
ΔH_f (0 K) = 0.216 eV/atom
M_tot = 0.00 μB/cell
Total energy = -4.396 eV per atom